(A)
{"formula": "MgZr2W2", "functional": "PBE-GGA", "state": "relaxed", "spacegroup": "P4/mbm, No. 127", "lattice": [[7.6289, 0.0000, 0.0000], [0.0000, 7.6289, 0.0000], [0.0000, 0.0000, 3.5602]], "species": ["Mg", "Mg", "Zr", "Zr", "Zr", "Zr", "W", "W", "W", "W"], "fractional_positions": [[0.0000, 0.0000, 0.0000], [0.5000, 0.5000, 0.0000], [0.1819, 0.6819, 0.5000], [0.6819, 0.8181, 0.5000], [0.8181, 0.3181, 0.5000], [0.3181, 0.1819, 0.5000], [0.3874, 0.8874, 0.0000], [0.8874, 0.6126, 0.0000], [0.6126, 0.1126, 0.0000], [0.1126, 0.3874, 0.0000]]}



(B)
{"formula": "MgZr2W2", "functional": "PBE-GGA", "state": "relaxed", "spacegroup": "I4/mmm, No. 139", "lattice": [[-1.0905, 3.6882, -1.9577], [-2.7623, -2.1546, -2.5204], [-6.2875, 1.6250, 1.8068]], "species": ["Mg", "Zr", "Zr", "W", "W"], "fractional_positions": [[0.0000, 0.0000, 0.0000], [0.7500, 0.2500, 0.5000], [0.2500, 0.7500, 0.5000], [0.4016, 0.4016, 0.1968], [0.5984, 0.5984, 0.8032]]}



Verdict on stability: (A) comes out on top.



(A)
{"formula": "Y3Mg5", "functional": "PBE-GGA", "state": "relaxed", "spacegroup": "Cmmm, No. 65", "lattice": [[6.5316, 0.0085, 0.0000], [-2.0324, 6.2074, 0.0000], [0.0000, 0.0000, 5.2108]], "species": ["Mg", "Mg", "Mg", "Mg", "Mg", "Y", "Y", "Y"], "fractional_positions": [[0.0000, 0.0000, 0.0000], [0.0000, 0.5000, 0.0000], [0.5000, 0.0000, 0.0000], [0.2491, 0.2491, 0.5000], [0.7509, 0.7509, 0.5000], [0.5000, 0.5000, 0.0000], [0.7598, 0.2402, 0.5000], [0.2402, 0.7598, 0.5000]]}



(B)
{"formula": "Y3Mg5", "functional": "PBE-GGA", "state": "relaxed", "spacegroup": "C2, No. 5", "lattice": [[9.0912, -0.0002, -0.0011], [-7.2001, 5.5505, -0.0011], [-0.9468, -2.7789, 8.6001]], "species": ["Y", "Y", "Y", "Y", "Y", "Y", "Mg", "Mg", "Mg", "Mg", "Mg", "Mg", "Mg", "Mg", "Mg", "Mg"], "fractional_positions": [[0.7498, 0.7497, 0.0000], [0.2497, 0.2498, 0.0000], [0.3234, 0.1762, 0.5000], [0.6755, 0.8240, 0.5000], [0.1759, 0.6766, 0.8519], [0.8230, 0.3237, 0.1481], [0.2500, 0.7504, 0.5001], [0.7493, 0.2497, 0.4999], [0.7582, 0.0706, 0.8287], [0.2416, 0.9295, 0.1721], [0.7413, 0.5704, 0.3120], [0.2577, 0.4299, 0.6882], [0.5700, 0.2580, 0.8279], [0.4290, 0.7414, 0.1713], [0.0697, 0.2419, 0.3118], [0.9292, 0.7583, 0.6880]]}



Verdict on stability: (A) comes out on top.



(A)
{"formula": "YMg6", "functional": "PBE-GGA", "state": "relaxed", "spacegroup": "Im-3m, No. 229", "lattice": [[-2.8632, 0.4783, 5.9983], [-4.7185, -0.4411, -4.6848], [3.8435, -5.4401, -0.1993]], "species": ["Y", "Mg", "Mg", "Mg", "Mg", "Mg", "Mg"], "fractional_positions": [[0.0000, 0.0000, 0.0000], [0.2500, 0.7500, 0.5000], [0.5000, 0.7500, 0.2500], [0.2500, 0.5000, 0.7500], [0.7500, 0.2500, 0.5000], [0.5000, 0.2500, 0.7500], [0.7500, 0.5000, 0.2500]]}



(B)
{"formula": "YMg6", "functional": "PBE-GGA", "state": "relaxed", "spacegroup": "Pnma, No. 62", "lattice": [[-2.1645, -5.2678, -1.7358], [2.4307, -3.7503, 8.3503], [-10.8919, 2.9884, 4.5128]], "species": ["Y", "Y", "Y", "Y", "Mg", "Mg", "Mg", "Mg", "Mg", "Mg", "Mg", "Mg", "Mg", "Mg", "Mg", "Mg", "Mg", "Mg", "Mg", "Mg", "Mg", "Mg", "Mg", "Mg", "Mg", "Mg", "Mg", "Mg"], "fractional_positions": [[0.7500, 0.2464, 0.9334], [0.2500, 0.7536, 0.0666], [0.7500, 0.7464, 0.5666], [0.2500, 0.2536, 0.4334], [0.7500, 0.5951, 0.0184], [0.2500, 0.4049, 0.9816], [0.7500, 0.0951, 0.4816], [0.2500, 0.9049, 0.5184], [0.0108, 0.4368, 0.1926], [0.5108, 0.5632, 0.8074], [0.4892, 0.9368, 0.3074], [0.9892, 0.0632, 0.6926], [0.9892, 0.5632, 0.8074], [0.4892, 0.4368, 0.1926], [0.5108, 0.0632, 0.6926], [0.0108, 0.9368, 0.3074], [0.2500, 0.1423, 0.1496], [0.7500, 0.8577, 0.8504], [0.2500, 0.6423, 0.3504], [0.7500, 0.3577, 0.6496], [0.2500, 0.8075, 0.7515], [0.7500, 0.1925, 0.2485], [0.2500, 0.3075, 0.7485], [0.7500, 0.6925, 0.2515], [0.2500, 0.5545, 0.5840], [0.7500, 0.4455, 0.4160], [0.2500, 0.0545, 0.9160], [0.7500, 0.9455, 0.0840]]}



Verdict on stability: (B) comes out on top.



(A)
{"formula": "Y3Mg4", "functional": "PBE-GGA", "state": "relaxed", "spacegroup": "I4/mmm, No. 139", "lattice": [[16.3772, 0.0288, 0.0000], [15.6519, 4.8198, 0.0000], [-16.0146, -2.4243, 2.4228]], "species": ["Y", "Y", "Y", "Mg", "Mg", "Mg", "Mg"], "fractional_positions": [[0.0000, 0.0000, 0.0000], [0.2908, 0.2908, 0.0000], [0.7092, 0.7092, 0.0000], [0.1350, 0.1350, 0.0000], [0.4280, 0.4280, 0.0000], [0.5720, 0.5720, 0.0000], [0.8650, 0.8650, 0.0000]]}



(B)
{"formula": "Y3Mg4", "functional": "PBE-GGA", "state": "relaxed", "spacegroup": "P6/mmm, No. 191", "lattice": [[3.2269, -5.5892, 0.0000], [3.2269, 5.5892, 0.0000], [0.0000, 0.0000, 5.7786]], "species": ["Y", "Y", "Y", "Mg", "Mg", "Mg", "Mg"], "fractional_positions": [[0.0000, 0.5000, 0.0000], [0.5000, 0.5000, 0.0000], [0.5000, 0.0000, 0.0000], [0.0000, 0.0000, 0.2465], [0.0000, 0.0000, 0.7535], [0.6667, 0.3333, 0.5000], [0.3333, 0.6667, 0.5000]]}



Verdict on stability: (A) comes out on top.



(A)
{"formula": "Y4Mg3", "functional": "PBE-GGA", "state": "relaxed", "spacegroup": "I4/mmm, No. 139", "lattice": [[-1.5473, -0.9122, 3.0304], [14.6862, -6.0906, 3.6180], [1.2580, 2.9180, 1.5207]], "species": ["Mg", "Mg", "Mg", "Y", "Y", "Y", "Y"], "fractional_positions": [[0.0000, 0.0000, 0.0000], [0.2794, 0.5588, 0.7206], [0.7206, 0.4412, 0.2794], [0.1486, 0.2971, 0.8514], [0.8514, 0.7029, 0.1486], [0.4305, 0.8609, 0.5695], [0.5695, 0.1391, 0.4305]]}



(B)
{"formula": "Y4Mg3", "functional": "PBE-GGA", "state": "relaxed", "spacegroup": "P6/mmm, No. 191", "lattice": [[6.0099, 0.0000, 0.0000], [-3.0050, 5.2047, 0.0000], [0.0000, 0.0000, 6.4391]], "species": ["Mg", "Mg", "Mg", "Y", "Y", "Y", "Y"], "fractional_positions": [[0.0000, 0.5000, 0.0000], [0.5000, 0.5000, 0.0000], [0.5000, 0.0000, 0.0000], [0.0000, 0.0000, 0.2548], [0.0000, 0.0000, 0.7452], [0.6667, 0.3333, 0.5000], [0.3333, 0.6667, 0.5000]]}



Verdict on stability: (A) comes out on top.



(A)
{"formula": "YMg2Zn2", "functional": "PBE-GGA", "state": "relaxed", "spacegroup": "P2_1/m, No. 11", "lattice": [[-0.0847, -4.2753, -2.0272], [4.9215, 0.3101, -0.8596], [4.6814, -3.5134, 7.2139]], "species": ["Y", "Y", "Mg", "Mg", "Mg", "Mg", "Zn", "Zn", "Zn", "Zn"], "fractional_positions": [[0.7500, 0.1204, 0.6946], [0.2500, 0.8796, 0.3054], [0.7500, 0.4573, 0.9242], [0.2500, 0.6355, 0.6891], [0.2500, 0.5427, 0.0758], [0.7500, 0.3645, 0.3109], [0.2500, 0.2655, 0.4900], [0.7500, 0.8888, 0.0739], [0.2500, 0.1112, 0.9261], [0.7500, 0.7345, 0.5100]]}



(B)
{"formula": "YMg2Zn2", "functional": "PBE-GGA", "state": "relaxed", "spacegroup": "I4/mmm, No. 139", "lattice": [[-1.9984, -3.8725, 1.4910], [4.1450, -1.9417, 0.5124], [1.2943, -1.1588, 5.8390]], "species": ["Y", "Zn", "Zn", "Mg", "Mg"], "fractional_positions": [[0.0000, 0.0000, 0.0000], [0.7500, 0.2500, 0.5000], [0.2500, 0.7500, 0.5000], [0.3682, 0.3682, 0.2636], [0.6318, 0.6318, 0.7364]]}



(C)
{"formula": "YMg2Zn2", "functional": "PBE-GGA", "state": "relaxed", "spacegroup": "P4/mbm, No. 127", "lattice": [[8.2695, 0.0000, 0.0000], [0.0000, 8.2695, 0.0000], [0.0000, 0.0000, 2.9731]], "species": ["Y", "Y", "Zn", "Zn", "Zn", "Zn", "Mg", "Mg", "Mg", "Mg"], "fractional_positions": [[0.0000, 0.0000, 0.0000], [0.5000, 0.5000, 0.0000], [0.1721, 0.6721, 0.5000], [0.6721, 0.8279, 0.5000], [0.8279, 0.3279, 0.5000], [0.3279, 0.1721, 0.5000], [0.3743, 0.8743, 0.0000], [0.8743, 0.6257, 0.0000], [0.6257, 0.1257, 0.0000], [0.1257, 0.3743, 0.0000]]}



(D)
{"formula": "YMg2Zn2", "functional": "PBE-GGA", "state": "relaxed", "spacegroup": "I4/mmm, No. 139", "lattice": [[4.1982, 0.0000, 0.0000], [0.0000, 4.1982, 0.0000], [2.0991, 2.0991, 6.0567]], "species": ["Y", "Zn", "Zn", "Mg", "Mg"], "fractional_positions": [[0.0000, 0.0000, 0.0000], [0.3991, 0.3991, 0.2017], [0.6009, 0.6009, 0.7983], [0.7500, 0.2500, 0.5000], [0.2500, 0.7500, 0.5000]]}



Verdict on stability: (D) comes out on top.